1.
Below is crystalline Na3Nd4Te8 at its relaxed geometry, with properties calculated at the PBE level.

Results
Final energy ... -4.421 eV per atom
Uncorrected formation energy ... -18.2 eV per formula unit
Calculated density ... 5272 kg/m3
Symmetry ... C2/m (12)

Cell: 8.9924 9.0373 9.0373 Å, 90.76 119.42 119.42°
Fractional coordinates of all 15 atoms:
Na (0.5000, 0.5000, 0.0000)
Na (0.5000, 0.0000, 0.5000)
Na (0.5000, 0.5000, 0.5000)
Nd (0.5000, 0.0000, 0.0000)
Nd (0.0000, 0.5000, 0.0000)
Nd (0.0000, 0.0000, 0.0000)
Nd (0.0000, 0.0000, 0.5000)
Te (0.4882, 0.2407, 0.2407)
Te (0.0000, 0.7525, 0.2475)
Te (0.9961, 0.2521, 0.2521)
Te (0.5000, 0.7525, 0.2475)
Te (0.5000, 0.2475, 0.7525)
Te (0.0039, 0.7479, 0.7479)
Te (0.0000, 0.2475, 0.7525)
Te (0.5118, 0.7593, 0.7593)

=====

2.
Below is crystalline NaNdTe at its relaxed geometry, with properties calculated at the PBE level.

Results
Final energy ... -3.754 eV per atom
Uncorrected formation energy ... -2.0 eV per formula unit
Calculated density ... 4768 kg/m3
Symmetry ... C2/m (12)

Cell: 4.2322 10.9236 9.6501 Å, 108.85 102.67 90.00°
Site moments in Bohr magnetons follow the coordinates.
Fractional coordinates of all 12 atoms:
Te (0.0579, 0.3957, 0.1158)  -0.01
Te (0.3931, 0.0648, 0.7863)  0.00
Te (0.6069, 0.9352, 0.2137)  0.00
Te (0.9421, 0.6043, 0.8842)  -0.01
Na (0.2357, 0.6014, 0.4715)  0.00
Na (0.7760, 0.8837, 0.5520)  0.00
Na (0.7643, 0.3986, 0.5285)  0.00
Na (0.2240, 0.1163, 0.4480)  0.00
Nd (0.4159, 0.3644, 0.8318)  0.19
Nd (0.5674, 0.1878, 0.1347)  0.00
Nd (0.5841, 0.6356, 0.1682)  0.19
Nd (0.4326, 0.8122, 0.8653)  0.00

=====

3.
Below is crystalline NaNd6Te8 at its relaxed geometry, with properties calculated at the PBE level.

Results
Final energy ... -5.072 eV per atom
Uncorrected formation energy ... -21.0 eV per formula unit
Calculated density ... 6203 kg/m3
Symmetry ... Fm-3m (225)

Cell: 8.9743 8.9743 8.9743 Å, 60.00 60.00 60.00°
Fractional coordinates of all 15 atoms:
Na (0.0000, 0.0000, 0.0000)
Nd (0.0000, 0.5000, 0.5000)
Nd (0.5000, 0.0000, 0.0000)
Nd (0.5000, 0.5000, 0.0000)
Nd (0.0000, 0.0000, 0.5000)
Nd (0.0000, 0.5000, 0.0000)
Nd (0.5000, 0.0000, 0.5000)
Te (0.7500, 0.7500, 0.7500)
Te (0.2500, 0.2500, 0.2500)
Te (0.7455, 0.2545, 0.2545)
Te (0.2545, 0.7455, 0.7455)
Te (0.2545, 0.2545, 0.7455)
Te (0.7455, 0.7455, 0.2545)
Te (0.7455, 0.2545, 0.7455)
Te (0.2545, 0.7455, 0.2545)

=====

4.
Below is crystalline NaNd2Te4 at its relaxed geometry, with properties calculated at the PBE level.

Results
Final energy ... -4.491 eV per atom
Uncorrected formation energy ... -8.0 eV per formula unit
Calculated density ... 5814 kg/m3
Symmetry ... P2_1/m (11)

Cell: 7.8500 6.2962 9.5159 Å, 90.00 93.44 90.00°
Fractional coordinates of all 14 atoms:
Na (0.3470, 0.7500, 0.0315)
Na (0.6530, 0.2500, 0.9685)
Nd (0.8796, 0.7500, 0.1650)
Nd (0.1204, 0.2500, 0.8350)
Nd (0.2548, 0.2500, 0.4383)
Nd (0.7452, 0.7500, 0.5617)
Te (0.5653, 0.4973, 0.2766)
Te (0.9828, 0.7500, 0.8549)
Te (0.0172, 0.2500, 0.1451)
Te (0.5653, 0.0027, 0.2766)
Te (0.8843, 0.2500, 0.5744)
Te (0.4347, 0.9973, 0.7234)
Te (0.4347, 0.5027, 0.7234)
Te (0.1157, 0.7500, 0.4256)

=====

Number 1: D(E_F) 9.17 states/eV/cell. Number 2: D(E_F) 8.40 states/eV/cell. Number 3: D(E_F) 4.26 states/eV/cell. Number 4: D(E_F) 1.58 states/eV/cell.